(1)
The following is a DFT calculation (GGA-PBE) of SbTe2As after structural relaxation.

```
SbTe2As
1.0
1.960 1.132 9.549
-1.960 1.132 9.549
0.000 -2.263 9.549
Sb Te As
1 2 1
direct
0.000 0.000 0.000
0.105 0.105 0.105
0.895 0.895 0.895
0.500 0.500 0.500
```

Properties
ΔE to the lowest computed polymorph (meV/atom): 143
Spin magnetization (Bohr magnetons per cell): 0.00
Uncorrected formation energy (kJ/mol of atoms): 19

***

(2)
The following is a DFT calculation (GGA-PBE) of TePt after structural relaxation.

```
TePt
1.0
5.004 0.000 0.000
0.000 10.691 0.000
0.000 0.000 5.121
Te Pt
6 6
direct
0.250 0.083 0.151
0.250 0.417 0.151
0.250 0.750 0.421
0.750 0.250 0.579
0.750 0.583 0.849
0.750 0.917 0.849
0.250 0.250 0.739
0.250 0.521 0.657
0.250 0.979 0.657
0.750 0.021 0.343
0.750 0.479 0.343
0.750 0.750 0.261
```

Properties
Spin magnetization (Bohr magnetons per cell): 0.00
Uncorrected formation energy (kJ/mol of atoms): -17

***

(3)
The following is a DFT calculation (GGA-PBE) of MgMnInS4 after structural relaxation.

```
MgMnInS4
1.0
5.338 -5.209 0.000
5.338 5.209 0.000
-5.242 0.000 5.348
Mg Mn In S
2 2 2 8
direct
0.123 0.877 0.750
0.877 0.123 0.250
0.500 0.500 0.000
0.500 0.500 0.500
0.000 0.500 0.000
0.500 0.000 0.500
0.268 0.731 0.490
0.269 0.732 0.010
0.278 0.279 0.528
0.279 0.278 0.028
0.721 0.722 0.972
0.722 0.721 0.472
0.731 0.268 0.990
0.732 0.269 0.510
```

Properties
Spin magnetization (Bohr magnetons per cell): 8.01
Uncorrected formation energy (kJ/mol of atoms): -73

***

(4)
The following is a DFT calculation (GGA-PBE) of SeBr3 after structural relaxation.

```
SeBr3
1.0
4.299 2.482 1.739
-4.299 2.482 1.739
0.000 -4.964 1.739
Se Br
1 3
direct
0.000 0.000 0.000
0.000 0.500 0.500
0.500 0.000 0.500
0.500 0.500 0.000
```

Properties
Spin magnetization (Bohr magnetons per cell): 0.00
Uncorrected formation energy (kJ/mol of atoms): 50

***

(5)
The following is a DFT calculation (GGA-PBE) of NaSi2Pt2 after structural relaxation.

```
NaSi2Pt2
1.0
-2.084 2.084 5.198
2.084 -2.084 5.198
2.084 2.084 -5.198
Na Si Pt
1 2 2
direct
0.000 0.000 0.000
0.250 0.750 0.500
0.750 0.250 0.500
0.367 0.367 0.000
0.633 0.633 0.000
```

Properties
ΔE to the lowest computed polymorph (meV/atom): 78
Spin magnetization (Bohr magnetons per cell): 0.00
Uncorrected formation energy (kJ/mol of atoms): -53

***

(6)
The following is a DFT calculation (GGA-PBE) of P2IrS2 after structural relaxation.

```
P2IrS2
1.0
4.514 0.000 0.000
0.000 4.514 0.000
0.000 0.000 4.877
P Ir S
2 1 2
direct
0.000 0.500 0.000
0.500 0.000 0.000
0.000 0.000 0.000
0.000 0.000 0.500
0.500 0.500 0.500
```

Properties
ΔE to the lowest computed polymorph (meV/atom): 0
Spin magnetization (Bohr magnetons per cell): 0.00
Uncorrected formation energy (kJ/mol of atoms): 83

***

(7)
The following is a DFT calculation (GGA-PBE) of AcGa4Cu2Ni after structural relaxation.

```
AcGa4Cu2Ni
1.0
2.098 1.211 9.317
-2.098 1.211 9.317
0.000 -2.423 9.317
Ac Ga Cu Ni
1 4 2 1
direct
0.000 0.000 0.000
0.134 0.134 0.134
0.410 0.410 0.410
0.590 0.590 0.590
0.866 0.866 0.866
0.231 0.231 0.231
0.769 0.769 0.769
0.500 0.500 0.500
```

Properties
Spin magnetization (Bohr magnetons per cell): 0.00
Energy of formation (eV per atom): -0.32

***

(8)
The following is a DFT calculation (GGA-PBE) of Fe2CoS after structural relaxation.

```
Fe2CoS
1.0
-2.515 2.515 4.862
2.515 -2.515 4.862
2.515 2.515 -4.862
Fe Co S
4 2 2
direct
0.111 0.625 0.986
0.375 0.361 0.486
0.639 0.125 0.014
0.875 0.889 0.514
0.250 0.750 0.500
0.500 0.500 0.000
0.000 0.000 0.000
0.750 0.250 0.500
```

Properties
ΔE to the lowest computed polymorph (meV/atom): 333
Spin magnetization (Bohr magnetons per cell): 6.51
Uncorrected formation energy (kJ/mol of atoms): 56

***

(9)
The following is a DFT calculation (GGA-PBE) of ScB3I after structural relaxation.

```
ScB3I
1.0
4.693 0.000 0.000
0.000 4.693 0.000
0.000 0.000 4.693
Sc B I
1 3 1
direct
0.000 0.000 0.000
0.000 0.000 0.500
0.000 0.500 0.000
0.500 0.000 0.000
0.500 0.500 0.500
```

Properties
ΔE to the lowest computed polymorph (meV/atom): 0
Spin magnetization (Bohr magnetons per cell): 0.00
Uncorrected formation energy (kJ/mol of atoms): 199

***

(10)
The following is a DFT calculation (GGA-PBE) of FeTc after structural relaxation.

```
FeTc
1.0
4.111 0.000 0.000
-2.056 3.560 0.000
0.000 0.000 4.528
Fe Tc
2 2
direct
0.333 0.667 0.250
0.667 0.333 0.750
0.333 0.667 0.750
0.667 0.333 0.250
```

Properties
Spin magnetization (Bohr magnetons per cell): 0.00
Energy of formation (eV per atom): 1.10

***

(11)
The following is a DFT calculation (GGA-PBE) of PmHoAlIn after structural relaxation.

```
PmHoAlIn
1.0
0.000 3.726 3.726
3.726 0.000 3.726
3.726 3.726 0.000
Pm Ho Al In
1 1 1 1
direct
0.000 0.000 0.000
0.500 0.500 0.500
0.250 0.250 0.250
0.750 0.750 0.750
```

Properties
ΔE to the lowest computed polymorph (meV/atom): 15
Spin magnetization (Bohr magnetons per cell): 0.00
Energy of formation (eV per atom): -0.41

***

(12)
The following is a DFT calculation (GGA-PBE) of W2AuBr after structural relaxation.

```
W2AuBr
1.0
6.690 -1.578 0.000
6.690 1.578 0.000
-0.628 0.000 4.679
W Au Br
2 1 1
direct
0.000 0.000 0.000
0.639 0.639 0.065
0.107 0.107 0.548
0.346 0.346 0.153
```

Properties
ΔE to the lowest computed polymorph (meV/atom): 207
Spin magnetization (Bohr magnetons per cell): 0.00
Uncorrected formation energy (kJ/mol of atoms): 73

***

(13)
The following is a DFT calculation (GGA-PBE) of CeNdTeO2 after structural relaxation.

```
CeNdTeO2
1.0
-2.029 2.029 6.463
2.029 -2.029 6.463
2.029 2.029 -6.463
Ce Nd Te O
1 1 1 2
direct
0.000 0.000 0.000
0.316 0.316 0.000
0.660 0.660 0.000
0.410 0.910 0.500
0.910 0.410 0.500
```

Properties
Spin magnetization (Bohr magnetons per cell): 1.00
Uncorrected formation energy (kJ/mol of atoms): -275

***

(14)
The following is a DFT calculation (GGA-PBE) of NaNbP after structural relaxation.

```
NaNbP
1.0
2.031 1.172 10.377
-2.031 1.172 10.377
0.000 -2.345 10.377
Na Nb P
2 2 2
direct
0.113 0.113 0.113
0.887 0.887 0.887
0.306 0.306 0.306
0.694 0.694 0.694
0.389 0.389 0.389
0.611 0.611 0.611
```

Properties
Spin magnetization (Bohr magnetons per cell): 0.00
Energy of formation (eV per atom): -0.44

***

(15)
The following is a DFT calculation (GGA-PBE) of Ho5Ga2Bi2 after structural relaxation.

```
Ho5Ga2Bi2
1.0
7.756 -3.983 0.000
7.756 3.983 0.000
0.000 0.000 7.976
Ho Ga Bi
10 4 4
direct
0.000 0.000 0.000
0.043 0.705 0.669
0.205 0.543 0.169
0.295 0.957 0.669
0.457 0.795 0.169
0.500 0.500 0.500
0.543 0.205 0.831
0.705 0.043 0.331
0.795 0.457 0.831
0.957 0.295 0.331
0.127 0.873 0.374
0.373 0.627 0.874
0.627 0.373 0.126
0.873 0.127 0.626
0.208 0.208 0.000
0.292 0.292 0.500
0.708 0.708 0.500
0.792 0.792 0.000
```

Properties
Spin magnetization (Bohr magnetons per cell): 0.00
Energy of formation (eV per atom): -0.70

***

(16)
The following is a DFT calculation (GGA-PBE) of La4Pm15Y after structural relaxation.

```
La4Pm15Y
1.0
5.193 0.000 0.000
0.000 5.193 0.000
0.000 0.000 25.898
La Pm Y
4 15 1
direct
0.000 0.000 0.100
0.000 0.000 0.301
0.000 0.000 0.699
0.000 0.000 0.900
0.000 0.500 0.000
0.000 0.500 0.201
0.000 0.500 0.402
0.000 0.500 0.598
0.000 0.500 0.799
0.500 0.000 0.000
0.500 0.000 0.201
0.500 0.000 0.402
0.500 0.000 0.598
0.500 0.000 0.799
0.500 0.500 0.100
0.500 0.500 0.302
0.500 0.500 0.500
0.500 0.500 0.698
0.500 0.500 0.900
0.000 0.000 0.500
```

Properties
Spin magnetization (Bohr magnetons per cell): 0.00
Energy of formation (eV per atom): 0.02

***

(17)
The following is a DFT calculation (GGA-PBE) of NdDyZnSn after structural relaxation.

```
NdDyZnSn
1.0
0.000 3.725 3.725
3.725 0.000 3.725
3.725 3.725 0.000
Nd Dy Zn Sn
1 1 1 1
direct
0.000 0.000 0.000
0.500 0.500 0.500
0.250 0.250 0.250
0.750 0.750 0.750
```

Properties
Spin magnetization (Bohr magnetons per cell): 0.00
Energy of formation (eV per atom): -0.51

***

(18)
The following is a DFT calculation (GGA-PBE) of Y4Cd5Ir2 after structural relaxation.

```
Y4Cd5Ir2
1.0
7.708 0.000 0.000
0.000 3.665 0.000
-0.685 0.000 9.557
Y Cd Ir
4 5 2
direct
0.170 0.000 0.351
0.213 0.000 0.945
0.787 0.000 0.055
0.830 0.000 0.649
0.187 0.500 0.653
0.454 0.500 0.173
0.500 0.500 0.500
0.546 0.500 0.827
0.813 0.500 0.347
0.075 0.500 0.144
0.925 0.500 0.856
```

Properties
Spin magnetization (Bohr magnetons per cell): 0.00
Energy of formation (eV per atom): -0.49

***

(19)
The following is a DFT calculation (GGA-PBE) of Li2FeCu after structural relaxation.

```
Li2FeCu
1.0
2.532 -4.173 0.000
2.532 4.173 0.000
0.000 0.000 2.448
Li Fe Cu
2 1 1
direct
0.000 0.500 0.000
0.500 0.000 0.000
0.000 0.000 0.500
0.500 0.500 0.500
```

Properties
Spin magnetization (Bohr magnetons per cell): 2.35
Energy of formation (eV per atom): 0.24

***

(20)
The following is a DFT calculation (GGA-PBE) of Sr2SmI after structural relaxation.

```
Sr2SmI
1.0
1.994 1.151 12.508
-1.994 1.151 12.508
0.000 -2.302 12.508
Sr Sm I
2 1 1
direct
0.098 0.098 0.098
0.902 0.902 0.902
0.000 0.000 0.000
0.500 0.500 0.500
```

Properties
Spin magnetization (Bohr magnetons per cell): 0.68
Uncorrected formation energy (kJ/mol of atoms): -22